[1]
The following is a DFT calculation (PBE) of a geometry-optimized Na2Zn6Ga9 structure.

The energy relative to the elements is 0.031 eV per atom.

The space group is P6/mmm (No. 191) and the conventional cell measures 5.6293, 5.6293 and 12.6307 Å, with angles of 90.00, 90.00 and 120.00 degrees. The distinct sites, in fractional coordinates, are Na at (0.0000, 0.0000, 0.1726), Zn at (0.3333, 0.6667, 0.1675), Zn at (0.3333, 0.6667, 0.5000), Ga at (0.0000, 0.5000, 0.0000) and Ga at (0.0000, 0.5000, 0.3349).

=====

[2]
The following is a DFT calculation (PBE) of a geometry-optimized NbTl2I8 structure.

As for the formation energy without anion corrections: -392 meV per atom.

The space group is C2/m (No. 12) and the conventional cell measures 14.4066, 10.7292 and 6.5059 Å, with angles of 90.00, 93.96 and 90.00 degrees. The distinct sites, in fractional coordinates, are Nb at (0.0000, 0.0000, 0.0000), Tl at (0.1056, 0.5000, 0.7862), I at (0.0833, 0.1800, 0.7666), I at (0.1218, 0.5000, 0.2842) and I at (0.1543, 0.0000, 0.2799).

=====

[3]
The following is a DFT calculation (PBE) of a geometry-optimized Ce3Ni2As4Ru2 structure.

The energy relative to the elements is -0.852 eV per atom.

The space group is P-3m1 (No. 164) and the conventional cell measures 4.1028, 4.1028 and 14.6116 Å, with angles of 90.00, 90.00 and 120.00 degrees. The distinct sites, in fractional coordinates, are Ce at (0.0000, 0.0000, 0.0000), Ce at (0.0000, 0.0000, 0.2722), Ni at (0.3333, 0.6667, 0.1444), As at (0.3333, 0.6667, 0.3950), As at (0.3333, 0.6667, 0.8670) and Ru at (0.3333, 0.6667, 0.5650).

=====

[4]
The following is a DFT calculation (PBE) of a geometry-optimized Ca2Ga4IrPt3 structure.

The energy relative to the elements is -0.827 eV per atom.

The space group is P-4m2 (No. 115) and the conventional cell measures 4.2432, 4.2432 and 10.5670 Å, with angles of 90.00, 90.00 and 90.00 degrees. The distinct sites, in fractional coordinates, are Ca at (0.0000, 0.5000, 0.2412), Ga at (0.0000, 0.0000, 0.5000), Ga at (0.0000, 0.5000, 0.8715), Ga at (0.5000, 0.5000, 0.5000), Ir at (0.5000, 0.5000, 0.0000), Pt at (0.0000, 0.0000, 0.0000) and Pt at (0.0000, 0.5000, 0.6354).

=====

[5]
The following is a DFT calculation (PBE) of a geometry-optimized BaSr3Ca2 structure.

The energy relative to the elements is 0.023 eV per atom. The calculation puts the offset from the most stable computed form at 0.000 eV per atom.

The space group is P4/mmm (No. 123) and the conventional cell measures 4.4938, 4.4938 and 15.2781 Å, with angles of 90.00, 90.00 and 90.00 degrees. The distinct sites, in fractional coordinates, are Ba at (0.0000, 0.0000, 0.0000), Sr at (0.5000, 0.5000, 0.1906), Sr at (0.5000, 0.5000, 0.5000) and Ca at (0.0000, 0.0000, 0.3468).

=====

[6]
The following is a DFT calculation (PBE) of a geometry-optimized LaRh structure.

The energy relative to the elements is -0.544 eV per atom.

The space group is I4_1/amd (No. 141, origin choice 2) and the conventional cell measures 4.0940, 4.0940 and 11.1509 Å, with angles of 90.00, 90.00 and 90.00 degrees. The distinct sites, in fractional coordinates, are La at (0.0000, 0.2500, 0.3750) and Rh at (0.0000, 0.2500, 0.8750).

=====

[7]
The following is a DFT calculation (PBE) of a geometry-optimized Zr2SbHRh structure.

The space group is P4/mmm (No. 123) and the conventional cell measures 4.4153, 4.4153 and 4.1408 Å, with angles of 90.00, 90.00 and 90.00 degrees. The distinct sites, in fractional coordinates, are Zr at (0.0000, 0.5000, 0.0000), Sb at (0.0000, 0.0000, 0.5000), H at (0.5000, 0.5000, 0.0000) and Rh at (0.5000, 0.5000, 0.5000).

=====

[8]
The following is a DFT calculation (PBE) of a geometry-optimized Zn3Ni4Sn structure.

The energy relative to the elements is -0.202 eV per atom.

The space group is I4/mmm (No. 139) and the conventional cell measures 4.1981, 4.1981 and 11.8381 Å, with angles of 90.00, 90.00 and 90.00 degrees. The distinct sites, in fractional coordinates, are Zn at (0.0000, 0.0000, 0.0000), Zn at (0.0000, 0.0000, 0.2459), Ni at (0.0000, 0.5000, 0.1301) and Sn at (0.0000, 0.0000, 0.5000).

=====

[9]
The following is a DFT calculation (PBE) of a geometry-optimized PuAg2S4 structure.

As for the formation energy without anion corrections: -538 meV per atom. The calculation puts the offset from the most stable computed form at 0.000 eV per atom.

The space group is Imma (No. 74) and the conventional cell measures 8.0317, 8.2909 and 9.1251 Å, with angles of 90.00, 90.00 and 90.00 degrees. The distinct sites, in fractional coordinates, are Pu at (0.0000, 0.0000, 0.0000), Ag at (0.0000, 0.2500, 0.3030), Ag at (0.2500, 0.2500, 0.7500), S at (0.0000, 0.0460, 0.7187) and S at (0.2124, 0.2500, 0.0362).

=====

[10]
The following is a DFT calculation (PBE) of a geometry-optimized Ho2LuTa structure.

The energy relative to the elements is 0.573 eV per atom.

The space group is R-3m (No. 166, hexagonal axes) and the conventional cell measures 3.2447, 3.2447 and 34.5620 Å, with angles of 90.00, 90.00 and 120.00 degrees. The distinct sites, in fractional coordinates, are Ho at (0.0000, 0.0000, 0.0849), Lu at (0.0000, 0.0000, 0.5000) and Ta at (0.0000, 0.0000, 0.0000).

=====

[11]
The following is a DFT calculation (PBE) of a geometry-optimized K2MgCo structure.

The energy relative to the elements is 0.515 eV per atom.

The space group is P4mm (No. 99) and the conventional cell measures 3.6581, 3.6581 and 10.2716 Å, with angles of 90.00, 90.00 and 90.00 degrees. The distinct sites, in fractional coordinates, are K at (0.0000, 0.0000, 0.0000), K at (0.5000, 0.5000, 0.4063), Mg at (0.0000, 0.0000, 0.6810) and Co at (0.5000, 0.5000, 0.7380).

=====

[12]
The following is a DFT calculation (PBE) of a geometry-optimized Ti2NiI structure.

As for the formation energy without anion corrections: 236 meV per atom. The calculation puts the offset from the most stable computed form at 0.000 eV per atom.

The space group is Fm-3m (No. 225) and the conventional cell measures 6.4619, 6.4619 and 6.4619 Å, with angles of 90.00, 90.00 and 90.00 degrees. The distinct sites, in fractional coordinates, are Ti at (0.2500, 0.2500, 0.2500), Ni at (0.0000, 0.0000, 0.0000) and I at (0.0000, 0.0000, 0.5000).

=====

The records above give, respectively, raw total energy values of -2.176, -2.865, -6.899, -5.136, -1.805, -6.683, -6.941, -4.071, -5.759, -5.809, -2.209, -5.544 eV/atom.